1.
DFT (PBE-GGA) results for SrGeAsH2 after structural relaxation.

crystal system: tetragonal
calculated total energy: -0.229 Ry/atom
magnetization: 0.00 Bohr magnetons per cell
Fermi-level density of states: 4.71 states/eV/f.u.

Geometry as CIF:
```
data_SrGeAsH2
_cell_length_a 4.096
_cell_length_b 4.096
_cell_length_c 7.028
_cell_angle_alpha 90.00
_cell_angle_beta 90.00
_cell_angle_gamma 90.00
_symmetry_space_group_name_H-M 'P 4/m m m'
_symmetry_Int_Tables_number 123
_symmetry_space_group_name_Hall '-P 4 2'
loop_
_atom_site_label
_atom_site_type_symbol
_atom_site_fract_x
_atom_site_fract_y
_atom_site_fract_z
Sr1 Sr 0.000 0.000 0.000
Ge1 Ge 0.000 0.000 0.500
As1 As 0.500 0.500 0.500
H1 H 0.000 0.500 0.000
```

2.
DFT (PBE-GGA) results for FeH3Ir after structural relaxation.

crystal system: cubic
magnetization: 3.22 Bohr magnetons per cell
Fermi-level density of states: 2.93 states/eV/f.u.
ΔE to the lowest computed polymorph: 0 kJ/mol of formula units

Geometry as CIF:
```
data_FeH3Ir
_cell_length_a 3.444
_cell_length_b 3.444
_cell_length_c 3.444
_cell_angle_alpha 90.00
_cell_angle_beta 90.00
_cell_angle_gamma 90.00
_symmetry_space_group_name_H-M 'P m -3 m'
_symmetry_Int_Tables_number 221
_symmetry_space_group_name_Hall '-P 4 2 3'
loop_
_atom_site_label
_atom_site_type_symbol
_atom_site_fract_x
_atom_site_fract_y
_atom_site_fract_z
Fe1 Fe 0.000 0.000 0.000
H1 H 0.000 0.500 0.500
Ir1 Ir 0.500 0.500 0.500
```

3.
DFT (PBE-GGA) results for SrMgSe2 after structural relaxation.

raw formation energy: -1193 meV/atom
crystal system: tetragonal
magnetization: 0.00 Bohr magnetons per cell
Fermi-level density of states: 1.20 states/eV/f.u.

Geometry as CIF:
```
data_SrMgSe2
_cell_length_a 5.160
_cell_length_b 5.160
_cell_length_c 3.682
_cell_angle_alpha 90.00
_cell_angle_beta 90.00
_cell_angle_gamma 90.00
_symmetry_space_group_name_H-M 'P 4/m m m'
_symmetry_Int_Tables_number 123
_symmetry_space_group_name_Hall '-P 4 2'
loop_
_atom_site_label
_atom_site_type_symbol
_atom_site_fract_x
_atom_site_fract_y
_atom_site_fract_z
Sr1 Sr 0.000 0.000 0.000
Mg1 Mg 0.500 0.500 0.000
Se1 Se 0.000 0.500 0.500
```